Entry 1:
# KTi2Mo

KTi2Mo after structural relaxation (GGA-PBE, Alexandria via LeMat-Bulk).

a = 4.778 Å, b = 4.778 Å, c = 4.778 Å
α = 60.00°, β = 60.00°, γ = 60.00°
Fractional positions:
1 Mo 0.500 0.500 0.500
2 K 0.000 0.000 0.000
3 Ti 0.250 0.250 0.250
4 Ti 0.750 0.750 0.750

Computed properties:
space group = Fm-3m
energy relative to the lowest polymorph listed for this composition = 0.0 kJ per mole of atoms
DFT formation energy = 108 kJ per mole of atoms
V = 19.3 A^3/atom



Entry 2:
# Ba5GeSb2I

Ba5GeSb2I after structural relaxation (GGA-PBE, Alexandria via LeMat-Bulk).

a = 5.757 Å, b = 8.658 Å, c = 10.352 Å
α = 114.72°, β = 106.14°, γ = 90.00°
Fractional positions:
1 Ba 0.650 0.914 0.300
2 Ba 0.350 0.086 0.700
3 Ba 0.350 0.615 0.700
4 Ba 0.650 0.385 0.300
5 Ba 0.000 0.000 0.000
6 Ge 0.500 0.000 0.000
7 Sb 0.200 0.200 0.401
8 Sb 0.800 0.800 0.599
9 I 0.000 0.500 0.000

Computed properties:
space group = Immm
V = 49.6 A^3/atom
uncorrected formation energy = -882 meV/atom



Entry 3:
# Ac6Pd3N

Ac6Pd3N after structural relaxation (GGA-PBE, Alexandria via LeMat-Bulk).

a = 7.117 Å, b = 7.914 Å, c = 11.037 Å
α = 90.00°, β = 91.72°, γ = 90.00°
Fractional positions:
1 Ac 0.690 0.167 0.929
2 Ac 0.656 0.202 0.565
3 Ac 0.647 0.457 0.263
4 Ac 0.353 0.543 0.737
5 Ac 0.344 0.798 0.435
6 Ac 0.310 0.833 0.071
7 Ac 0.190 0.333 0.429
8 Ac 0.156 0.298 0.065
9 Ac 0.147 0.043 0.763
10 Ac 0.853 0.957 0.237
11 Ac 0.844 0.702 0.935
12 Ac 0.810 0.667 0.571
13 Pd 0.559 0.893 0.736
14 Pd 0.500 0.500 0.000
15 Pd 0.441 0.107 0.264
16 Pd 0.059 0.607 0.236
17 Pd 0.000 0.000 0.500
18 Pd 0.941 0.393 0.764
19 N 0.500 0.500 0.500
20 N 0.000 0.000 0.000

Computed properties:
space group = P2_1/c
V = 31.1 A^3/atom
uncorrected formation energy = -678 meV/atom